# 1
The following is a PBE-GGA calculation of crystalline K2ZrOs at its relaxed geometry, from Alexandria.

Results
- Formation energy from the elements: 574 meV/atom
- Crystal system: monoclinic
- ρ: 4.3 Mg/m³
- Total magnetic moment: 0.0 μB/cell
- Fermi-level density of states: 3.2 states/eV/f.u.
- Uncorrected energy: -4.919 eV/atom

Lattice parameters (Å, degrees): 3.8940 3.8940 11.6288 85.40 85.40 52.33
With the nearest neighbours (Å) after each atom.
Sites, in units of the cell vectors:
K 0.0135 0.0135 0.9633  2 K 3.43
K 0.2230 0.2230 0.3281  3 Os 3.24-3.35, 2 K 3.43
Os 0.4857 0.4857 0.5435  3 Zr 2.58-2.59
Zr 0.7777 0.7777 0.6651  3 Os 2.58-2.59

---

# 2
The following is a PBE-GGA calculation of crystalline SrMgCo2 at its relaxed geometry, from Alexandria.

Results
- Formation energy from the elements: 507 meV/atom
- Crystal system: orthorhombic
- ρ: 4.4 Mg/m³
- Total magnetic moment: 2.7 μB/cell
- Fermi-level density of states: 4.3 states/eV/f.u.
- Uncorrected energy: -3.865 eV/atom

Lattice parameters (Å, degrees): 4.9315 4.9315 4.9315 121.59 112.64 95.24
With the nearest neighbours (Å) after each atom.
Sites, in units of the cell vectors:
Co 0.9183 0.9183 0.0000  1 Co 2.24
Co 0.5817 0.5817 0.0000  1 Co 2.24
Mg 0.7500 0.2500 0.5000  4 Co 2.65
Sr 0.2500 0.7500 0.5000  8 Co 2.95-3.26